Computed, not measured: Y2Se after structural relaxation at the PBEsol level of DFT.

a b c (Å): 4.4343 5.5396 12.5164
angles (deg): 90.00 90.00 90.00
Space group Fmmm (No. 69)
One atom of each set of equivalent atoms:
Y 0.0000 0.0000 0.1452
Se 0.0000 0.0000 0.5000

magnetization	0.00	μB per atom
formation energy without anion corrections	-1.032	eV/atom

Computed, not measured: Y3Se4 after structural relaxation at the PBEsol level of DFT.

a b c (Å): 13.8145 8.0456 13.7663
angles (deg): 90.00 109.02 90.00
Space group C2/m (No. 12)
One atom of each set of equivalent atoms:
Y 0.0000 0.0000 0.0000
Y 0.0000 0.0000 0.5000
Y 0.0024 0.2572 0.2537
Y 0.2440 0.5000 0.7463
Y 0.2500 0.2500 0.0000
Y 0.2500 0.2500 0.5000
Se 0.1208 0.5000 0.8790
Se 0.1244 0.2477 0.6255
Se 0.1255 0.0000 0.3743
Se 0.1257 0.0000 0.8715
Se 0.1267 0.2464 0.1255
Se 0.1279 0.5000 0.3750

magnetization	0.00	μB per atom
formation energy without anion corrections	-1.888	eV/atom

> The lowest formation energy without anion corrections belongs to which entry?

Y3Se4

> What is the formation energy without anion corrections in the second record?

-1.888 eV/atom

> formation energy without anion corrections of number 2 (Y3Se4)?

-1.888 eV/atom